No. 1
Density functional theory data (PBE) for a relaxed structure of K4PPt2N.

a b c (Å): 5.633 5.976 5.976
angles (deg): 104.78 90.00 90.00
Positions (direct):
K1 0.000 0.170 0.830
K2 0.000 0.830 0.170
K3 0.500 0.114 0.469
K4 0.500 0.469 0.114
P1 0.000 0.405 0.405
Pt1 0.257 0.660 0.660
Pt2 0.743 0.660 0.660
N1 0.500 0.866 0.866

Results
theoretical density = 5.05 Mg/m³
M_tot = 1.0 μB/f.u.
calculated total energy = -3.985 eV/atom
SG = No. 38

No. 2
Density functional theory data (PBE) for a relaxed structure of K2TaPN4.

a b c (Å): 5.646 5.646 5.646
angles (deg): 120.17 120.17 89.70
Positions (direct):
K1 0.000 0.000 0.000
K2 0.750 0.250 0.500
Ta1 0.500 0.500 0.000
P1 0.250 0.750 0.500
N1 0.288 0.638 0.195
N2 0.362 0.557 0.650
N3 0.443 0.093 0.805
N4 0.907 0.712 0.350

Results
theoretical density = 4.53 Mg/m³
M_tot = 0.0 μB/f.u.
calculated total energy = -7.377 eV/atom
SG = No. 82

No. 3
Density functional theory data (PBE) for a relaxed structure of K2PaWN4.

a b c (Å): 6.147 6.147 6.147
angles (deg): 121.53 121.53 87.37
Positions (direct):
K1 0.000 0.000 0.000
K2 0.750 0.250 0.500
Pa1 0.250 0.750 0.500
W1 0.500 0.500 0.000
N1 0.248 0.605 0.090
N2 0.395 0.484 0.642
N3 0.516 0.158 0.910
N4 0.842 0.752 0.358

Results
theoretical density = 5.69 Mg/m³
M_tot = 1.0 μB/f.u.
calculated total energy = -7.966 eV/atom
SG = No. 82

No. 4
Density functional theory data (PBE) for a relaxed structure of K2PbWN4.

a b c (Å): 6.020 6.020 6.020
angles (deg): 121.18 121.18 87.96
Positions (direct):
K1 0.000 0.000 0.000
K2 0.750 0.250 0.500
Pb1 0.250 0.750 0.500
W1 0.500 0.500 0.000
N1 0.240 0.613 0.083
N2 0.387 0.470 0.627
N3 0.530 0.157 0.917
N4 0.843 0.760 0.373

Results
theoretical density = 5.76 Mg/m³
M_tot = 0.0 μB/f.u.
calculated total energy = -6.566 eV/atom
SG = No. 82

No. 5
Density functional theory data (PBE) for a relaxed structure of KPd3N5.

a b c (Å): 5.175 5.175 5.528
angles (deg): 90.00 90.00 120.00
Positions (direct):
K1 0.000 0.000 0.000
Pd1 0.000 0.500 0.500
Pd2 0.500 0.000 0.500
Pd3 0.500 0.500 0.500
N1 0.000 0.000 0.500
N2 0.333 0.667 0.104
N3 0.333 0.667 0.896
N4 0.667 0.333 0.104
N5 0.667 0.333 0.896

Results
theoretical density = 5.55 Mg/m³
calculated total energy = -5.783 eV/atom
SG = No. 191

No. 6
Density functional theory data (PBE) for a relaxed structure of KPt2N.

a b c (Å): 3.012 3.012 16.898
angles (deg): 90.00 90.00 119.82
Positions (direct):
K1 0.000 0.000 0.000
K2 0.000 0.000 0.500
Pt1 0.334 0.666 0.667
Pt2 0.334 0.666 0.833
Pt3 0.666 0.334 0.167
Pt4 0.666 0.334 0.333
N1 0.334 0.666 0.250
N2 0.666 0.334 0.750

Results
theoretical density = 11.07 Mg/m³
M_tot = 0.0 μB/f.u.
calculated total energy = -4.536 eV/atom
SG = No. 63

No. 7
Density functional theory data (PBE) for a relaxed structure of K2PtWN4.

a b c (Å): 5.641 5.641 5.641
angles (deg): 112.38 112.38 103.80
Positions (direct):
K1 0.000 0.000 0.000
K2 0.750 0.250 0.500
Pt1 0.250 0.750 0.500
W1 0.500 0.500 0.000
N1 0.236 0.544 0.119
N2 0.425 0.117 0.881
N3 0.456 0.575 0.692
N4 0.883 0.764 0.308

Results
theoretical density = 6.21 Mg/m³
M_tot = 0.0 μB/f.u.
calculated total energy = -6.799 eV/atom
SG = No. 82

No. 8
Density functional theory data (PBE) for a relaxed structure of KPuN2.

a b c (Å): 6.570 6.570 6.570
angles (deg): 30.87 30.87 30.87
Positions (direct):
K1 0.000 0.000 0.000
Pu1 0.500 0.500 0.500
N1 0.220 0.220 0.220
N2 0.780 0.780 0.780

Results
theoretical density = 7.80 Mg/m³
M_tot = 3.0 μB/f.u.
calculated total energy = -8.766 eV/atom
SG = No. 166

No. 9
Density functional theory data (PBE) for a relaxed structure of KRbW2N4.

a b c (Å): 6.068 6.068 6.068
angles (deg): 122.45 122.45 85.81
Positions (direct):
K1 0.000 0.000 0.000
Rb1 0.750 0.250 0.500
W1 0.250 0.750 0.500
W2 0.500 0.500 0.000
N1 0.291 0.626 0.166
N2 0.374 0.540 0.665
N3 0.460 0.125 0.834
N4 0.875 0.709 0.335

Results
theoretical density = 6.00 Mg/m³
M_tot = 0.0 μB/f.u.
calculated total energy = -8.077 eV/atom
SG = No. 82

No. 10
Density functional theory data (PBE) for a relaxed structure of KReN2.

a b c (Å): 6.124 6.124 6.124
angles (deg): 125.83 125.83 80.16
Positions (direct):
K1 0.000 0.000 0.000
K2 0.750 0.250 0.500
Re1 0.250 0.750 0.500
Re2 0.500 0.500 0.000
N1 0.289 0.125 0.664
N2 0.375 0.711 0.836
N3 0.461 0.625 0.336
N4 0.875 0.539 0.164

Results
theoretical density = 5.78 Mg/m³
M_tot = 0.0 μB/f.u.
calculated total energy = -7.692 eV/atom
SG = No. 122

No. 11
Density functional theory data (PBE) for a relaxed structure of K2ReWN4.

a b c (Å): 5.937 5.937 5.937
angles (deg): 120.97 120.97 88.33
Positions (direct):
K1 0.000 0.000 0.000
K2 0.750 0.250 0.500
Re1 0.250 0.750 0.500
W1 0.500 0.500 0.000
N1 0.279 0.625 0.155
N2 0.375 0.531 0.654
N3 0.469 0.124 0.845
N4 0.876 0.721 0.346

Results
theoretical density = 5.75 Mg/m³
M_tot = 0.0 μB/f.u.
calculated total energy = -7.877 eV/atom
SG = No. 82

No. 12
Density functional theory data (PBE) for a relaxed structure of K2SnWN4.

a b c (Å): 5.947 5.947 5.947
angles (deg): 121.26 121.26 87.83
Positions (direct):
K1 0.000 0.000 0.000
K2 0.750 0.250 0.500
Sn1 0.250 0.750 0.500
W1 0.500 0.500 0.000
N1 0.252 0.618 0.108
N2 0.382 0.491 0.635
N3 0.509 0.144 0.892
N4 0.856 0.748 0.365

Results
theoretical density = 4.98 Mg/m³
M_tot = 0.0 μB/f.u.
calculated total energy = -6.843 eV/atom
SG = No. 82